First-principles (SCAN) data for a crystal of LiTlTc relaxed with PBEsol, as listed in Alexandria via LeMat-Bulk.

Results
Energy relative to the lowest polymorph listed for this composition   0.000 eV/atom
Fermi-level density of states   0.49 states/eV per atom
Crystal system   trigonal
Energy   -108.3 eV per formula unit

Structure (CIF):
```
data_LiTlTc
_cell_length_a 2.9138
_cell_length_b 2.9138
_cell_length_c 7.0820
_cell_angle_alpha 90.00
_cell_angle_beta 90.00
_cell_angle_gamma 120.00
_symmetry_space_group_name_H-M 'P 3 m 1'
_symmetry_Int_Tables_number 156
loop_
_symmetry_equiv_pos_as_xyz
'x,y,z'
'-y,x-y,z'
'-x+y,-x,z'
'-y,-x,z'
'-x+y,y,z'
'x,x-y,z'
loop_
_atom_site_label
_atom_site_fract_x
_atom_site_fract_y
_atom_site_fract_z
Li1 0.0000 0.0000 0.0000
Tl1 0.3333 0.6667 0.3464
Tc1 0.6667 0.3333 0.6869
```

---

First-principles (SCAN) data for a crystal of LiTm2Tc relaxed with PBEsol, as listed in Alexandria via LeMat-Bulk.

Results
Fermi-level density of states   0.70 states/eV per atom
Crystal system   cubic
Energy   -141.6 eV per formula unit

Structure (CIF):
```
data_LiTm2Tc
_cell_length_a 6.7770
_cell_length_b 6.7770
_cell_length_c 6.7770
_cell_angle_alpha 90.00
_cell_angle_beta 90.00
_cell_angle_gamma 90.00
_symmetry_space_group_name_H-M 'F m -3 m'
_symmetry_Int_Tables_number 225
_symmetry_space_group_name_Hall '-F 4 2 3'
loop_
_atom_site_label
_atom_site_fract_x
_atom_site_fract_y
_atom_site_fract_z
Li1 0.0000 0.0000 0.0000
Tm1 0.2500 0.2500 0.2500
Tc1 0.0000 0.0000 0.5000
```

---

- Among the records above, which one has the lowest energy?
  LiTm2Tc

---

Repeat the second record exactly.
First-principles (SCAN) data for a crystal of LiTm2Tc relaxed with PBEsol, as listed in Alexandria via LeMat-Bulk.

Results
Fermi-level density of states   0.70 states/eV per atom
Crystal system   cubic
Energy   -141.6 eV per formula unit

Structure (CIF):
```
data_LiTm2Tc
_cell_length_a 6.7770
_cell_length_b 6.7770
_cell_length_c 6.7770
_cell_angle_alpha 90.00
_cell_angle_beta 90.00
_cell_angle_gamma 90.00
_symmetry_space_group_name_H-M 'F m -3 m'
_symmetry_Int_Tables_number 225
_symmetry_space_group_name_Hall '-F 4 2 3'
loop_
_atom_site_label
_atom_site_fract_x
_atom_site_fract_y
_atom_site_fract_z
Li1 0.0000 0.0000 0.0000
Tm1 0.2500 0.2500 0.2500
Tc1 0.0000 0.0000 0.5000
```

---

What did the first record say?
First-principles (SCAN) data for a crystal of LiTlTc relaxed with PBEsol, as listed in Alexandria via LeMat-Bulk.

Results
Energy relative to the lowest polymorph listed for this composition   0.000 eV/atom
Fermi-level density of states   0.49 states/eV per atom
Crystal system   trigonal
Energy   -108.3 eV per formula unit

Structure (CIF):
```
data_LiTlTc
_cell_length_a 2.9138
_cell_length_b 2.9138
_cell_length_c 7.0820
_cell_angle_alpha 90.00
_cell_angle_beta 90.00
_cell_angle_gamma 120.00
_symmetry_space_group_name_H-M 'P 3 m 1'
_symmetry_Int_Tables_number 156
loop_
_symmetry_equiv_pos_as_xyz
'x,y,z'
'-y,x-y,z'
'-x+y,-x,z'
'-y,-x,z'
'-x+y,y,z'
'x,x-y,z'
loop_
_atom_site_label
_atom_site_fract_x
_atom_site_fract_y
_atom_site_fract_z
Li1 0.0000 0.0000 0.0000
Tl1 0.3333 0.6667 0.3464
Tc1 0.6667 0.3333 0.6869
```

---

- Number 2 is which compound?
  LiTm2Tc